Computed, not measured: a geometry-optimized BaMn2Al structure at the GGA-PBE level of DFT.

```
BaMn2Al
1.0
-1.6446 2.8571 5.0541
1.6446 -2.8571 5.0541
1.6446 2.8571 -5.0541
Ba Mn Al
1 2 1
Cartesian
0.0000 0.0000 0.0000
1.6446 0.0000 2.9817
0.0000 2.8571 2.0724
0.0000 0.0000 5.0541
```

Properties
Calculated formation energy   0.64 eV per atom

Computed, not measured: a geometry-optimized Ti3Mo6W structure at the GGA-PBE level of DFT.

```
Ti3Mo6W
1.0
7.7065 0.0000 0.0000
0.0000 9.4509 0.0000
0.0000 0.0000 4.6992
Ti Mo W
6 12 2
Cartesian
0.0000 0.0000 0.0000
1.5784 0.3851 2.3496
2.2749 5.1106 0.0000
3.8532 4.7255 2.3496
5.4316 4.3404 0.0000
6.1281 9.0658 2.3496
0.3158 3.2316 0.0000
0.8357 7.2550 2.3496
1.8934 7.7649 0.0000
1.9599 3.0395 2.3496
3.0176 2.5296 0.0000
3.5374 7.9571 2.3496
4.1691 1.4939 2.3496
4.6889 6.9214 0.0000
5.7466 6.4115 2.3496
5.8131 1.6860 0.0000
6.8708 2.1959 2.3496
7.3906 6.2193 0.0000
0.0000 4.7255 2.3496
3.8532 0.0000 0.0000
```

Properties
Calculated formation energy   0.28 eV per atom

Computed, not measured: a geometry-optimized BaLaNd2In4 structure at the GGA-PBE level of DFT.

```
BaLaNd2In4
1.0
2.8171 1.6265 9.2315
-2.8171 1.6265 9.2315
0.0000 -3.2529 9.2315
Ba La Nd In
1 1 2 4
Cartesian
0.0000 0.0000 0.0000
0.0000 0.0000 13.8472
0.0000 0.0000 6.9602
0.0000 0.0000 20.7343
0.0000 0.0000 3.5370
0.0000 0.0000 10.4882
0.0000 0.0000 17.2062
0.0000 0.0000 24.1575
```

Properties
Calculated formation energy   -0.42 eV per atom

Computed, not measured: a geometry-optimized HgTeBr2 structure at the GGA-PBE level of DFT.

```
HgTeBr2
1.0
-5.6211 5.6211 2.9126
5.6211 -5.6211 2.9126
5.6211 5.6211 -2.9126
Hg Te Br
2 2 4
Cartesian
0.0000 0.0000 0.0000
0.0000 5.6211 1.4563
5.6211 0.0000 1.4563
0.0000 0.0000 2.9126
2.8105 5.6032 -0.7282
5.6390 2.8105 0.7282
2.8105 0.0179 2.1845
-0.0179 2.8105 3.6408
```

Properties
Excess energy over the best structure of this formula in the dataset   82 meV/atom
ΔE_f (raw)   -129 meV per atom